Density functional theory data (PBE with a Hubbard U) for an optimized crystal structure of Co3Ag2F8.

a = 5.447 Å, b = 6.380 Å, c = 6.380 Å
α = 59.82°, β = 94.65°, γ = 94.65°
Fractional positions:
Ag1 0.533 0.715 0.715
Ag2 0.467 0.285 0.285
Co1 0.000 0.255 0.745
Co2 0.500 0.000 0.000
Co3 0.000 0.745 0.255
F1 0.853 0.398 0.398
F2 0.698 0.321 0.870
F3 0.302 0.679 0.130
F4 0.698 0.870 0.321
F5 0.181 0.097 0.097
F6 0.819 0.903 0.903
F7 0.302 0.130 0.679
F8 0.147 0.602 0.602

Results
Its density of states at the Fermi level is 0.0 states/eV per cell. The value obtained for the mass density is 4.7 Mg/m³. The value obtained for the total magnetic moment is 9.05 μB/f.u. Its energy is -4.5107 eV/atom.